AlCS2: optimized geometry, GGA-PBE.

a = 6.273 Å, b = 6.273 Å, c = 6.273 Å
α = 34.04°, β = 34.04°, γ = 34.04°
Fractional positions:
1 S 0.090 0.090 0.090
2 S 0.910 0.910 0.910
3 Al 0.500 0.500 0.500
4 C 0.000 0.000 0.000

Results
For the volume, the calculation gives 68.95 Å³/cell. The formation energy (no corrections) comes out at 515 meV per atom. Its density of states at the Fermi level is 0.3357 states/eV per atom. For the total energy, the calculation gives -19.2 eV for the cell shown.

---

CaZnAs2: optimized geometry, GGA-PBE.

a = 5.156 Å, b = 3.202 Å, c = 5.286 Å
α = 89.99°, β = 90.00°, γ = 90.00°
Fractional positions:
1 Zn 0.500 0.998 0.822
2 Ca 0.000 0.501 0.424
3 As 0.500 0.000 0.331
4 As 0.000 0.001 0.923

Results
For the volume, the calculation gives 87.28 Å³/cell. The formation enthalpy at 0 K comes out at -1.42 eV/f.u. Its density of states at the Fermi level is 0.4992 states/eV per atom. For the total energy, the calculation gives -14.0 eV for the cell shown.

---

Ba2ErRuO6: optimized geometry, GGA-PBE.

a = 5.945 Å, b = 5.945 Å, c = 5.945 Å
α = 60.00°, β = 60.00°, γ = 60.00°
Fractional positions:
1 Ba 0.750 0.750 0.750
2 Ba 0.250 0.250 0.250
3 Ru 0.000 0.000 0.000
4 O 0.236 0.764 0.764
5 O 0.764 0.764 0.236
6 O 0.764 0.236 0.236
7 O 0.764 0.236 0.764
8 O 0.236 0.764 0.236
9 O 0.236 0.236 0.764
10 Er 0.500 0.500 0.500

Results
For the volume, the calculation gives 148.60 Å³/cell. The formation energy (no corrections) comes out at -2444 meV per atom. Its density of states at the Fermi level is 0.1920 states/eV per atom. For the total energy, the calculation gives -71.9 eV for the cell shown.

---

Question: Among the records above, which one has the highest total energy?
Answer: CaZnAs2

---

Question: total energy of number 2 (CaZnAs2)?
Answer: -14.0 eV for the cell shown